1.
The following is a PBE calculation of an optimized crystal structure of ScNbGaAg2, from Alexandria via LeMat-Bulk.

Computed properties:
The calculated formation energy is 781 meV/atom.

Unit cell a=4.702 b=4.702 c=5.041 alpha=90.00 beta=90.00 gamma=90.00
Fractional positions:
Sc: 0.000 0.000 0.000
Nb: 0.500 0.500 0.000
Ga: 0.000 0.000 0.500
Ag: 0.000 0.500 0.500
Ag: 0.500 0.000 0.500


2.
The following is a PBE calculation of an optimized crystal structure of MnTcGe2C, from Alexandria via LeMat-Bulk.

Computed properties:
The calculated formation energy is 1091 meV/atom.

Unit cell a=4.720 b=4.720 c=3.633 alpha=90.00 beta=90.00 gamma=90.00
Fractional positions:
Mn: 0.000 0.000 0.000
Tc: 0.500 0.500 0.500
Ge: 0.000 0.500 0.000
Ge: 0.500 0.000 0.000
C: 0.000 0.000 0.500


3.
The following is a PBE calculation of an optimized crystal structure of Al4ZnSi, from Alexandria via LeMat-Bulk.

Computed properties:
The calculation puts the raw formation energy at 0.32 eV per atom.

Unit cell a=5.295 b=5.295 c=5.295 alpha=60.00 beta=60.00 gamma=60.00
Fractional positions:
Al: 0.125 0.125 0.125
Al: 0.125 0.125 0.625
Al: 0.125 0.625 0.125
Al: 0.625 0.125 0.125
Zn: 0.500 0.500 0.500
Si: 0.750 0.750 0.750


4.
The following is a PBE calculation of an optimized crystal structure of PrAs3Pd, from Alexandria via LeMat-Bulk.

Computed properties:
The calculated formation energy is -691 meV/atom.

Unit cell a=12.536 b=5.745 c=5.881 alpha=90.00 beta=90.00 gamma=90.00
Fractional positions:
Pr: 0.189 0.001 0.250
Pr: 0.189 0.499 0.750
Pr: 0.811 0.501 0.250
Pr: 0.811 0.999 0.750
As: 0.001 0.250 0.000
As: 0.001 0.250 0.500
As: 0.278 0.508 0.250
As: 0.278 0.992 0.750
As: 0.430 0.635 0.750
As: 0.430 0.865 0.250
As: 0.570 0.135 0.750
As: 0.570 0.365 0.250
As: 0.722 0.008 0.250
As: 0.722 0.492 0.750
As: 0.999 0.750 0.000
As: 0.999 0.750 0.500
Pd: 0.414 0.250 0.000
Pd: 0.414 0.250 0.500
Pd: 0.586 0.750 0.000
Pd: 0.586 0.750 0.500


5.
The following is a PBE calculation of an optimized crystal structure of Nb5Ru6, from Alexandria via LeMat-Bulk.

Computed properties:
The calculated formation energy is -110 meV/atom.

Unit cell a=7.655 b=7.655 c=7.655 alpha=146.26 beta=131.89 gamma=60.05
Fractional positions:
Nb: 0.000 0.000 0.000
Nb: 0.162 0.662 0.500
Nb: 0.338 0.338 0.000
Nb: 0.662 0.662 0.000
Nb: 0.838 0.338 0.500
Ru: 0.086 0.833 0.253
Ru: 0.258 0.500 0.758
Ru: 0.421 0.167 0.253
Ru: 0.579 0.833 0.747
Ru: 0.742 0.500 0.242
Ru: 0.914 0.167 0.747


6.
The following is a PBE calculation of an optimized crystal structure of Hf3Mn2Ru, from Alexandria via LeMat-Bulk.

Computed properties:
The calculated formation energy is -367 meV/atom.

Unit cell a=3.194 b=3.194 c=9.569 alpha=90.00 beta=90.00 gamma=90.00
Fractional positions:
Hf: 0.000 0.000 0.000
Hf: 0.000 0.000 0.328
Hf: 0.000 0.000 0.672
Mn: 0.500 0.500 0.164
Mn: 0.500 0.500 0.836
Ru: 0.500 0.500 0.500


7.
The following is a PBE calculation of an optimized crystal structure of CrAsAu, from Alexandria via LeMat-Bulk.

Computed properties:
The calculated formation energy is 280 meV/atom. The energy above the most stable polymorph in this dataset is 0.151 eV/atom.

Unit cell a=2.953 b=2.953 c=6.489 alpha=90.00 beta=90.00 gamma=120.00
Fractional positions:
Cr: 0.000 0.000 0.000
As: 0.333 0.667 0.263
Au: 0.667 0.333 0.668


8.
The following is a PBE calculation of an optimized crystal structure of Pm2ZnGa6Pd, from Alexandria via LeMat-Bulk.

Computed properties:
The calculated formation energy is -423 meV/atom.

Unit cell a=12.237 b=12.237 c=12.237 alpha=30.20 beta=30.20 gamma=30.20
Fractional positions:
Pm: 0.107 0.107 0.107
Pm: 0.283 0.283 0.283
Pm: 0.717 0.717 0.717
Pm: 0.893 0.893 0.893
Zn: 0.427 0.427 0.427
Zn: 0.573 0.573 0.573
Ga: 0.064 0.669 0.669
Ga: 0.229 0.229 0.647
Ga: 0.229 0.647 0.229
Ga: 0.331 0.331 0.936
Ga: 0.331 0.936 0.331
Ga: 0.353 0.771 0.771
Ga: 0.647 0.229 0.229
Ga: 0.669 0.064 0.669
Ga: 0.669 0.669 0.064
Ga: 0.771 0.353 0.771
Ga: 0.771 0.771 0.353
Ga: 0.936 0.331 0.331
Pd: 0.000 0.000 0.000
Pd: 0.500 0.500 0.500


9.
The following is a PBE calculation of an optimized crystal structure of Rb3ScF, from Alexandria via LeMat-Bulk.

Computed properties:
The calculation puts the raw formation energy at -0.50 eV per atom. The energy above the most stable polymorph in this dataset is 0.000 eV/atom.

Unit cell a=5.983 b=5.983 c=5.983 alpha=90.00 beta=90.00 gamma=90.00
Fractional positions:
Rb: 0.000 0.000 0.500
Rb: 0.000 0.500 0.000
Rb: 0.500 0.000 0.000
Sc: 0.500 0.500 0.500
F: 0.000 0.000 0.000


10.
The following is a PBE calculation of an optimized crystal structure of DyRhN, from Alexandria via LeMat-Bulk.

Computed properties:
The calculation puts the raw formation energy at 0.15 eV per atom.

Unit cell a=4.634 b=4.634 c=3.810 alpha=90.00 beta=90.00 gamma=120.00
Fractional positions:
Dy: 0.000 0.000 0.000
Rh: 0.333 0.667 0.000
N: 0.333 0.667 0.500


11.
The following is a PBE calculation of an optimized crystal structure of Tl2SiRu, from Alexandria via LeMat-Bulk.

Computed properties:
The calculation puts the raw formation energy at 0.72 eV per atom. The energy above the most stable polymorph in this dataset is 0.677 eV/atom.

Unit cell a=3.681 b=3.681 c=5.812 alpha=90.00 beta=90.00 gamma=90.00
Fractional positions:
Tl: 0.000 0.000 0.245
Tl: 0.000 0.000 0.755
Si: 0.500 0.500 0.500
Ru: 0.500 0.500 0.000


12.
The following is a PBE calculation of an optimized crystal structure of BaScBe2, from Alexandria via LeMat-Bulk.

Computed properties:
The calculated formation energy is 347 meV/atom. The energy above the most stable polymorph in this dataset is 0.104 eV/atom.

Unit cell a=3.956 b=3.518 c=13.743 alpha=90.00 beta=90.00 gamma=90.00
Fractional positions:
Ba: 0.000 0.000 0.000
Ba: 0.000 0.500 0.500
Sc: 0.500 0.000 0.277
Sc: 0.500 0.500 0.777
Be: 0.000 0.000 0.709
Be: 0.000 0.500 0.209
Be: 0.500 0.000 0.644
Be: 0.500 0.500 0.144


13.
The following is a PBE calculation of an optimized crystal structure of K2BaTa, from Alexandria via LeMat-Bulk.

Computed properties:
The calculated formation energy is 1218 meV/atom. The energy above the most stable polymorph in this dataset is 0.233 eV/atom.

Unit cell a=7.324 b=13.947 c=3.452 alpha=90.00 beta=116.25 gamma=90.00
Fractional positions:
K: 0.250 0.250 0.000
K: 0.250 0.750 0.000
K: 0.750 0.250 0.000
K: 0.750 0.750 0.000
Ba: 0.000 0.000 0.500
Ba: 0.500 0.500 0.500
Ta: 0.000 0.500 0.500
Ta: 0.500 0.000 0.500


Calculated total energy
In order: -4.2456 -6.5077 -3.2896 -5.4749 -9.7467 -9.9462 -5.5705 -3.8355 -2.7185 -6.6069 -4.1381 -3.5797 -2.7751
Unit: eV per atom